(1)
An optimized crystal structure of PuHfIr. Source: Alexandria via LeMat-Bulk, functional GGA-PBE.

Unit cell a=3.346 b=3.346 c=11.630 alpha=90.00 beta=90.00 gamma=90.00
Atoms (fractional coordinates):
Pu  0.000  0.000  0.000
Pu  0.500  0.500  0.500
Hf  0.000  0.000  0.287
Hf  0.500  0.500  0.787
Ir  0.000  0.000  0.673
Ir  0.500  0.500  0.173

## Properties
Energy above the lowest structure with this stoichiometry: 99 meV/atom
Formation enthalpy at 0 K: -0.342 eV/atom


(2)
An optimized crystal structure of DyCu3Pd4. Source: Alexandria via LeMat-Bulk, functional GGA-PBE.

Unit cell a=4.190 b=4.190 c=7.024 alpha=90.00 beta=90.00 gamma=90.00
Atoms (fractional coordinates):
Dy  0.000  0.000  0.000
Cu  0.000  0.000  0.500
Cu  0.500  0.500  0.000
Cu  0.500  0.500  0.500
Pd  0.000  0.500  0.272
Pd  0.000  0.500  0.728
Pd  0.500  0.000  0.272
Pd  0.500  0.000  0.728

## Properties
Formation enthalpy at 0 K: -0.420 eV/atom


(3)
An optimized crystal structure of BaTbThN3. Source: Alexandria via LeMat-Bulk, functional GGA-PBE.

Unit cell a=7.611 b=3.692 c=9.921 alpha=90.00 beta=91.03 gamma=90.00
Atoms (fractional coordinates):
Ba  0.135  0.250  0.200
Ba  0.865  0.750  0.800
Tb  0.158  0.250  0.568
Tb  0.842  0.750  0.432
Th  0.379  0.750  0.871
Th  0.621  0.250  0.129
N  0.137  0.750  0.435
N  0.191  0.250  0.807
N  0.402  0.750  0.098
N  0.598  0.250  0.902
N  0.809  0.750  0.193
N  0.863  0.250  0.565

## Properties
DFT total energy: -91.5 eV for the cell shown


(4)
An optimized crystal structure of KBa2LiCr. Source: Alexandria via LeMat-Bulk, functional GGA-PBE.

Unit cell a=6.684 b=6.684 c=5.285 alpha=90.00 beta=90.00 gamma=90.00
Atoms (fractional coordinates):
K  0.000  0.000  0.000
Ba  0.000  0.500  0.500
Ba  0.500  0.000  0.500
Li  0.500  0.500  0.500
Cr  0.500  0.500  0.000

## Properties
Formation enthalpy at 0 K: 0.560 eV/atom


(5)
An optimized crystal structure of Ba4YCl. Source: Alexandria via LeMat-Bulk, functional GGA-PBE.

Unit cell a=7.688 b=7.688 c=7.688 alpha=60.00 beta=60.00 gamma=60.00
Atoms (fractional coordinates):
Ba  0.376  0.376  0.376
Ba  0.376  0.376  0.871
Ba  0.376  0.871  0.376
Ba  0.871  0.376  0.376
Y  0.750  0.750  0.750
Cl  0.000  0.000  0.000

## Properties
DFT total energy: -14.5 eV for the cell shown


(6)
An optimized crystal structure of NaRhPb6. Source: Alexandria via LeMat-Bulk, functional GGA-PBE.

Unit cell a=8.102 b=9.925 c=6.406 alpha=90.00 beta=108.32 gamma=90.00
Atoms (fractional coordinates):
Na  0.000  0.000  0.000
Na  0.500  0.500  0.000
Rh  0.000  0.500  0.500
Rh  0.500  0.000  0.500
Pb  0.088  0.294  0.795
Pb  0.088  0.706  0.795
Pb  0.206  0.000  0.620
Pb  0.294  0.500  0.380
Pb  0.412  0.206  0.205
Pb  0.412  0.794  0.205
Pb  0.588  0.206  0.795
Pb  0.588  0.794  0.795
Pb  0.706  0.500  0.620
Pb  0.794  0.000  0.380
Pb  0.912  0.294  0.205
Pb  0.912  0.706  0.205

## Properties
Formation enthalpy at 0 K: 0.005 eV/atom


(7)
An optimized crystal structure of TaCoW. Source: Alexandria via LeMat-Bulk, functional GGA-PBE.

Unit cell a=2.811 b=3.459 c=9.293 alpha=90.00 beta=90.00 gamma=90.00
Atoms (fractional coordinates):
Ta  0.000  0.000  0.000
Ta  0.500  0.500  0.500
Co  0.000  0.000  0.664
Co  0.500  0.500  0.164
W  0.000  0.000  0.313
W  0.500  0.500  0.813

## Properties
Energy above the lowest structure with this stoichiometry: 244 meV/atom
Formation enthalpy at 0 K: 0.130 eV/atom


(8)
An optimized crystal structure of CdSe3Cl. Source: Alexandria via LeMat-Bulk, functional GGA-PBE.

Unit cell a=5.018 b=5.018 c=5.018 alpha=90.00 beta=90.00 gamma=90.00
Atoms (fractional coordinates):
Cd  0.000  0.000  0.000
Se  0.000  0.500  0.500
Se  0.500  0.000  0.500
Se  0.500  0.500  0.000
Cl  0.500  0.500  0.500

## Properties
Energy above the lowest structure with this stoichiometry: 4 meV/atom


(9)
An optimized crystal structure of SrTl2Br. Source: Alexandria via LeMat-Bulk, functional GGA-PBE.

Unit cell a=4.349 b=6.680 c=10.039 alpha=90.00 beta=90.00 gamma=90.00
Atoms (fractional coordinates):
Sr  0.000  0.000  0.000
Sr  0.500  0.500  0.000
Tl  0.000  0.500  0.275
Tl  0.000  0.500  0.725
Tl  0.500  0.000  0.275
Tl  0.500  0.000  0.725
Br  0.000  0.000  0.500
Br  0.500  0.500  0.500

## Properties
Energy above the lowest structure with this stoichiometry: 427 meV/atom


(10)
An optimized crystal structure of SrCe2Pb9. Source: Alexandria via LeMat-Bulk, functional GGA-PBE.

Unit cell a=4.948 b=4.948 c=14.871 alpha=90.00 beta=90.00 gamma=90.00
Atoms (fractional coordinates):
Sr  0.000  0.000  0.000
Ce  0.000  0.000  0.340
Ce  0.000  0.000  0.660
Pb  0.000  0.500  0.171
Pb  0.000  0.500  0.500
Pb  0.000  0.500  0.829
Pb  0.500  0.000  0.171
Pb  0.500  0.000  0.500
Pb  0.500  0.000  0.829
Pb  0.500  0.500  0.000
Pb  0.500  0.500  0.335
Pb  0.500  0.500  0.665

## Properties
Formation enthalpy at 0 K: -0.346 eV/atom


(11)
An optimized crystal structure of AgAsBr2. Source: Alexandria via LeMat-Bulk, functional GGA-PBE.

Unit cell a=3.754 b=3.754 c=26.574 alpha=90.00 beta=90.00 gamma=120.00
Atoms (fractional coordinates):
Ag  0.000  0.000  0.000
Ag  0.333  0.667  0.667
Ag  0.667  0.333  0.333
As  0.000  0.000  0.500
As  0.333  0.667  0.167
As  0.667  0.333  0.833
Br  0.000  0.000  0.402
Br  0.000  0.000  0.598
Br  0.333  0.667  0.069
Br  0.333  0.667  0.265
Br  0.667  0.333  0.735
Br  0.667  0.333  0.931

## Properties
Energy above the lowest structure with this stoichiometry: 171 meV/atom


(12)
An optimized crystal structure of SrPm2C. Source: Alexandria via LeMat-Bulk, functional GGA-PBE.

Unit cell a=3.735 b=3.735 c=31.090 alpha=90.00 beta=90.00 gamma=120.00
Atoms (fractional coordinates):
Sr  0.000  0.000  0.000
Sr  0.333  0.667  0.667
Sr  0.667  0.333  0.333
Pm  0.000  0.000  0.122
Pm  0.000  0.000  0.878
Pm  0.333  0.667  0.545
Pm  0.333  0.667  0.789
Pm  0.667  0.333  0.211
Pm  0.667  0.333  0.455
C  0.000  0.000  0.500
C  0.333  0.667  0.167
C  0.667  0.333  0.833

## Properties
Energy above the lowest structure with this stoichiometry: 48 meV/atom
Formation enthalpy at 0 K: 0.009 eV/atom


(13)
An optimized crystal structure of Tb3Pm2TmBi6. Source: Alexandria via LeMat-Bulk, functional GGA-PBE.

Unit cell a=10.086 b=10.086 c=9.025 alpha=102.90 beta=102.90 gamma=25.85
Atoms (fractional coordinates):
Tb  0.000  0.000  0.000
Tb  0.332  0.332  0.666
Tb  0.668  0.668  0.334
Pm  0.334  0.334  0.168
Pm  0.666  0.666  0.832
Tm  0.000  0.000  0.500
Bi  0.165  0.165  0.578
Bi  0.166  0.166  0.086
Bi  0.498  0.498  0.746
Bi  0.502  0.502  0.254
Bi  0.834  0.834  0.914
Bi  0.835  0.835  0.422

## Properties
Formation enthalpy at 0 K: -0.881 eV/atom


(14)
An optimized crystal structure of CeY2Tl2. Source: Alexandria via LeMat-Bulk, functional GGA-PBE.

Unit cell a=6.523 b=6.523 c=9.494 alpha=100.45 beta=100.45 gamma=46.65
Atoms (fractional coordinates):
Ce  0.048  0.048  0.378
Ce  0.952  0.952  0.622
Y  0.259  0.259  0.749
Y  0.426  0.426  0.130
Y  0.574  0.574  0.870
Y  0.741  0.741  0.251
Tl  0.132  0.132  0.063
Tl  0.357  0.357  0.435
Tl  0.643  0.643  0.565
Tl  0.868  0.868  0.937

## Properties
Formation enthalpy at 0 K: -0.260 eV/atom


(15)
An optimized crystal structure of Tb4InHgN. Source: Alexandria via LeMat-Bulk, functional GGA-PBE.

Unit cell a=8.274 b=8.274 c=6.875 alpha=90.00 beta=90.00 gamma=130.93
Atoms (fractional coordinates):
Tb  0.000  0.500  0.000
Tb  0.000  0.500  0.500
Tb  0.080  0.920  0.750
Tb  0.412  0.588  0.750
Tb  0.500  0.000  0.000
Tb  0.500  0.000  0.500
Tb  0.588  0.412  0.250
Tb  0.920  0.080  0.250
In  0.382  0.618  0.250
In  0.618  0.382  0.750
Hg  0.119  0.881  0.250
Hg  0.881  0.119  0.750
N  0.251  0.749  0.750
N  0.749  0.251  0.250

## Properties
DFT total energy: -69.8 eV for the cell shown


(16)
An optimized crystal structure of Zr2TaReTc. Source: Alexandria via LeMat-Bulk, functional GGA-PBE.

Unit cell a=4.988 b=4.988 c=4.628 alpha=90.00 beta=90.00 gamma=90.00
Atoms (fractional coordinates):
Zr  0.000  0.500  0.000
Zr  0.500  0.000  0.000
Ta  0.000  0.000  0.500
Re  0.500  0.500  0.000
Tc  0.500  0.500  0.500

## Properties
Formation enthalpy at 0 K: 1.162 eV/atom


(17)
An optimized crystal structure of NiAg2Rh. Source: Alexandria via LeMat-Bulk, functional GGA-PBE.

Unit cell a=2.832 b=4.664 c=9.368 alpha=90.00 beta=90.00 gamma=90.00
Atoms (fractional coordinates):
Ni  0.000  0.000  0.000
Ni  0.500  0.500  0.000
Ag  0.000  0.500  0.239
Ag  0.000  0.500  0.761
Ag  0.500  0.000  0.239
Ag  0.500  0.000  0.761
Rh  0.000  0.000  0.500
Rh  0.500  0.500  0.500

## Properties
Energy above the lowest structure with this stoichiometry: 180 meV/atom
Formation enthalpy at 0 K: 0.329 eV/atom


(18)
An optimized crystal structure of CsCaTl4. Source: Alexandria via LeMat-Bulk, functional GGA-PBE.

Unit cell a=6.642 b=6.642 c=6.642 alpha=60.00 beta=60.00 gamma=60.00
Atoms (fractional coordinates):
Cs  0.000  0.000  0.000
Ca  0.750  0.750  0.750
Tl  0.376  0.376  0.376
Tl  0.376  0.376  0.872
Tl  0.376  0.872  0.376
Tl  0.872  0.376  0.376

## Properties
Formation enthalpy at 0 K: -0.101 eV/atom


(19)
An optimized crystal structure of Sc6Ru5Pt. Source: Alexandria via LeMat-Bulk, functional GGA-PBE.

Unit cell a=7.187 b=7.187 c=6.440 alpha=90.00 beta=90.00 gamma=142.99
Atoms (fractional coordinates):
Sc  0.000  0.000  0.244
Sc  0.000  0.000  0.756
Sc  0.330  0.670  0.248
Sc  0.330  0.670  0.752
Sc  0.670  0.330  0.248
Sc  0.670  0.330  0.752
Ru  0.166  0.834  0.000
Ru  0.166  0.834  0.500
Ru  0.500  0.500  0.000
Ru  0.834  0.166  0.000
Ru  0.834  0.166  0.500
Pt  0.500  0.500  0.500

## Properties
Formation enthalpy at 0 K: -0.702 eV/atom


(20)
An optimized crystal structure of TcHgW2. Source: Alexandria via LeMat-Bulk, functional GGA-PBE.

Unit cell a=3.969 b=3.969 c=4.165 alpha=90.00 beta=90.00 gamma=90.00
Atoms (fractional coordinates):
Tc  0.000  0.000  0.000
Hg  0.500  0.500  0.000
W  0.000  0.500  0.500
W  0.500  0.000  0.500

## Properties
Formation enthalpy at 0 K: 0.557 eV/atom


(21)
An optimized crystal structure of KMgGaBr2. Source: Alexandria via LeMat-Bulk, functional GGA-PBE.

Unit cell a=5.941 b=5.941 c=6.304 alpha=90.00 beta=90.00 gamma=90.00
Atoms (fractional coordinates):
K  0.000  0.000  0.000
Mg  0.500  0.500  0.500
Ga  0.000  0.000  0.500
Br  0.000  0.500  0.000
Br  0.500  0.000  0.000

## Properties
DFT total energy: -9.8 eV for the cell shown


(22)
An optimized crystal structure of Sc3TlRe. Source: Alexandria via LeMat-Bulk, functional GGA-PBE.

Unit cell a=5.075 b=5.075 c=5.075 alpha=90.00 beta=90.00 gamma=90.00
Atoms (fractional coordinates):
Sc  0.000  0.000  0.500
Sc  0.000  0.500  0.000
Sc  0.500  0.000  0.000
Tl  0.500  0.500  0.500
Re  0.000  0.000  0.000

## Properties
Energy above the lowest structure with this stoichiometry: 0 meV/atom
Formation enthalpy at 0 K: 0.204 eV/atom


(23)
An optimized crystal structure of SrBeNi2. Source: Alexandria via LeMat-Bulk, functional GGA-PBE.

Unit cell a=3.597 b=5.368 c=7.314 alpha=90.00 beta=90.00 gamma=90.00
Atoms (fractional coordinates):
Sr  0.000  0.000  0.000
Sr  0.500  0.500  0.500
Be  0.000  0.000  0.500
Be  0.500  0.500  0.000
Ni  0.000  0.500  0.167
Ni  0.000  0.500  0.833
Ni  0.500  0.000  0.333
Ni  0.500  0.000  0.667

## Properties
Energy above the lowest structure with this stoichiometry: 426 meV/atom
Formation enthalpy at 0 K: 0.283 eV/atom


(24)
An optimized crystal structure of TaHgSb4. Source: Alexandria via LeMat-Bulk, functional GGA-PBE.

Unit cell a=6.104 b=6.104 c=6.104 alpha=60.00 beta=60.00 gamma=60.00
Atoms (fractional coordinates):
Ta  0.000  0.000  0.000
Hg  0.750  0.750  0.750
Sb  0.374  0.374  0.374
Sb  0.374  0.374  0.877
Sb  0.374  0.877  0.374
Sb  0.877  0.374  0.374

## Properties
DFT total energy: -23.5 eV for the cell shown


(25)
An optimized crystal structure of CoMoS2Cl. Source: Alexandria via LeMat-Bulk, functional GGA-PBE.

Unit cell a=4.642 b=4.642 c=4.938 alpha=90.00 beta=90.00 gamma=90.00
Atoms (fractional coordinates):
Co  0.000  0.000  0.000
Mo  0.500  0.500  0.500
S  0.000  0.500  0.500
S  0.500  0.000  0.500
Cl  0.500  0.500  0.000

## Properties
Energy above the lowest structure with this stoichiometry: 0 meV/atom


N(E_F) per entry: 16.691; 2.174; 0.202; 7.974; 11.565; 6.880; 5.984; 3.023; 4.183; 14.577; 2.653; 13.218; 2.011; 14.473; 3.333; 7.333; 11.971; 1.883; 7.983; 2.304; 0.062; 4.218; 5.560; 4.711; 8.760 states/eV/cell